KNaMg | Alexandria | PBE | optimized geometry; space-group type = Pnma (62); E above lowest polymorph = 0.0 meV per atom; formation energy = 0.1217 eV per atom; density = 1.1 g/cm3
1.0
13.5297 0.0000 0.0000
0.0000 5.6102 0.0000
0.0000 0.0000 6.7491
K Na Mg
4 4 4
direct
0.2369 0.2500 0.0586
0.2631 0.7500 0.5586
0.7369 0.2500 0.4414
0.7631 0.7500 0.9414
0.0350 0.2500 0.6144
0.4650 0.7500 0.1144
0.5350 0.2500 0.8856
0.9650 0.7500 0.3856
0.0357 0.7500 0.9148
0.4643 0.2500 0.4148
0.5357 0.7500 0.5852
0.9643 0.2500 0.0852

---

PrBi2F11 | Alexandria | PBE | optimized geometry; space-group type = Ibam (72); density = 5.2 g/cm3; formation energy (no corrections) = -2.63 eV per atom
1.0
-4.1394 5.2371 5.6521
4.1394 -5.2371 5.6521
4.1394 5.2371 -5.6521
Pr Bi F
2 4 22
direct
0.2500 0.2500 0.0000
0.7500 0.7500 0.0000
0.1807 0.6419 0.8226
0.3193 0.1419 0.4612
0.6807 0.8581 0.5388
0.8193 0.3581 0.1774
0.0000 0.5000 0.5000
0.0412 0.9591 0.2808
0.0611 0.3586 0.1532
0.1783 0.4591 0.9180
0.2054 0.9079 0.8468
0.2167 0.3672 0.5839
0.2833 0.8672 0.1505
0.2946 0.1414 0.7025
0.3217 0.2396 0.2808
0.4389 0.5921 0.2975
0.4588 0.7396 0.9180
0.5000 0.0000 0.5000
0.5412 0.2604 0.0820
0.5611 0.4079 0.7025
0.6783 0.7604 0.7192
0.7054 0.8586 0.2975
0.7167 0.1328 0.8495
0.7833 0.6328 0.4161
0.7946 0.0921 0.1532
0.8217 0.5409 0.0820
0.9389 0.6414 0.8468
0.9588 0.0409 0.7192

---

CS | Alexandria | PBE | optimized geometry; space-group type = Fddd (70); E above lowest polymorph = 302.3 meV per atom; density = 1.6 g/cm3; formation energy (no corrections) = 1.53 eV per atom
1.0
0.0000 6.0468 6.5768
2.2684 0.0000 6.5768
2.2684 6.0468 0.0000
C S
4 4
direct
0.0833 0.0833 0.6667
0.3333 0.3333 0.9167
0.6667 0.6667 0.0833
0.9167 0.9167 0.3333
0.0351 0.7149 0.0351
0.2851 0.9649 0.2851
0.7149 0.0351 0.7149
0.9649 0.2851 0.9649

---

LuTl2In | Alexandria | PBE | optimized geometry; space-group type = Fm-3m (225); E above lowest polymorph = 152.6 meV per atom; formation energy = -0.0448 eV per atom; density = 10.6 g/cm3
1.0
0.0000 3.7983 3.7983
3.7983 0.0000 3.7983
3.7983 3.7983 0.0000
Lu Tl In
1 2 1
direct
0.0000 0.0000 0.0000
0.2500 0.2500 0.2500
0.7500 0.7500 0.7500
0.5000 0.5000 0.5000

---

CeZnCuAg | Alexandria | PBE | optimized geometry; space-group type = F-43m (216); formation energy = -0.1027 eV per atom; density = 8.1 g/cm3
1.0
0.0000 3.3771 3.3771
3.3771 0.0000 3.3771
3.3771 3.3771 0.0000
Ce Zn Cu Ag
1 1 1 1
direct
0.0000 0.0000 0.0000
0.2500 0.2500 0.2500
0.7500 0.7500 0.7500
0.5000 0.5000 0.5000

---

Gd2PuRu | Alexandria | PBE | optimized geometry; space-group type = P4/mmm (123); formation energy = -0.0893 eV per atom; density = 10.7 g/cm3
1.0
3.4175 0.0000 0.0000
0.0000 3.4175 0.0000
0.0000 0.0000 8.7544
Gd Pu Ru
2 1 1
direct
0.0000 0.0000 0.1928
0.0000 0.0000 0.8072
0.5000 0.5000 0.5000
0.5000 0.5000 0.0000

---

ZnIn2Br | Alexandria | PBE | optimized geometry; space-group type = Fm-3m (225); E above lowest polymorph = 144.3 meV per atom; density = 5.6 g/cm3; formation energy (no corrections) = 0.00 eV per atom
1.0
0.0000 3.8080 3.8080
3.8080 0.0000 3.8080
3.8080 3.8080 0.0000
Zn In Br
1 2 1
direct
0.0000 0.0000 0.0000
0.2500 0.2500 0.2500
0.7500 0.7500 0.7500
0.5000 0.5000 0.5000

---

KAs2Au | Alexandria | PBE | optimized geometry; space-group type = Imm2 (44); E above lowest polymorph = 46.0 meV per atom; formation energy = -0.1131 eV per atom; density = 5.6 g/cm3
1.0
-2.1637 2.2474 5.8692
2.1637 -2.2474 5.8692
2.1637 2.2474 -5.8692
K As Au
1 2 1
direct
0.0000 0.0000 0.0000
0.2308 0.7308 0.5000
0.3533 0.3533 0.0000
0.7554 0.2554 0.5000

---

PaTaMo | Alexandria | PBE | optimized geometry; space-group type = I4mm (107); E above lowest polymorph = 0.0 meV per atom; formation energy = 0.1116 eV per atom; density = 14.0 g/cm3
1.0
-1.6813 1.6813 5.3105
1.6813 -1.6813 5.3105
1.6813 1.6813 -5.3105
Pa Ta Mo
1 1 1
direct
0.0000 0.0000 0.0000
0.3089 0.3089 0.0000
0.6653 0.6653 0.0000

---

As2Ir | Alexandria | PBE | optimized geometry; space-group type = Imma (74); formation energy = 0.0626 eV per atom; density = 10.1 g/cm3
1.0
-1.4476 1.6844 11.4986
1.4476 -1.6844 11.4986
1.4476 1.6844 -11.4986
As Ir
4 2
direct
0.3086 0.0586 0.2500
0.4376 0.1876 0.2500
0.5624 0.8124 0.7500
0.6914 0.9414 0.7500
0.1258 0.3758 0.7500
0.8742 0.6242 0.2500

---

LaTc2RhCl | Alexandria | PBE | optimized geometry; space-group type = P4/mmm (123); E above lowest polymorph = 0.0 meV per atom; density = 6.1 g/cm3; formation energy (no corrections) = 0.71 eV per atom
1.0
4.6930 0.0000 0.0000
0.0000 4.6930 0.0000
0.0000 0.0000 5.8864
La Tc Rh Cl
1 2 1 1
direct
0.0000 0.0000 0.0000
0.0000 0.5000 0.5000
0.5000 0.0000 0.5000
0.0000 0.0000 0.5000
0.5000 0.5000 0.0000

---

Be2Cr2Ir | Alexandria | PBE | optimized geometry; space-group type = P4/mbm (127); formation energy = -0.1500 eV per atom; density = 9.8 g/cm3
1.0
6.0707 0.0000 0.0000
0.0000 6.0707 0.0000
0.0000 0.0000 2.9004
Be Cr Ir
4 4 2
direct
0.1245 0.3755 0.0000
0.3755 0.8755 0.0000
0.6245 0.1245 0.0000
0.8755 0.6245 0.0000
0.1690 0.6690 0.5000
0.3310 0.1690 0.5000
0.6690 0.8310 0.5000
0.8310 0.3310 0.5000
0.0000 0.0000 0.0000
0.5000 0.5000 0.0000

---

UTi3 | Alexandria | PBE | optimized geometry; space-group type = Pmm2 (25); E above lowest polymorph = 9.0 meV per atom; formation energy = 0.1113 eV per atom; density = 8.9 g/cm3
1.0
2.7815 0.0000 0.0000
0.0000 4.7395 0.0000
0.0000 0.0000 5.4117
U Ti
1 3
direct
0.0000 0.0000 0.0000
0.0000 0.5000 0.2492
0.5000 0.0000 0.4900
0.5000 0.5000 0.7544

---

RbBe2Cl | Alexandria | PBE | optimized geometry; space-group type = Fm-3m (225); E above lowest polymorph = 762.5 meV per atom; density = 1.9 g/cm3; formation energy (no corrections) = 0.96 eV per atom
1.0
0.0000 3.9212 3.9212
3.9212 0.0000 3.9212
3.9212 3.9212 0.0000
Rb Be Cl
1 2 1
direct
0.0000 0.0000 0.0000
0.2500 0.2500 0.2500
0.7500 0.7500 0.7500
0.5000 0.5000 0.5000

---

Ce2ErPb9 | Alexandria | PBE | optimized geometry; space-group type = P4/mmm (123); formation energy = -0.3130 eV per atom; density = 10.9 g/cm3
1.0
4.9032 0.0000 0.0000
0.0000 4.9032 0.0000
0.0000 0.0000 14.6533
Ce Er Pb
2 1 9
direct
0.0000 0.0000 0.1649
0.0000 0.0000 0.8351
0.0000 0.0000 0.5000
0.0000 0.5000 0.0000
0.0000 0.5000 0.3361
0.0000 0.5000 0.6639
0.5000 0.0000 0.0000
0.5000 0.0000 0.3361
0.5000 0.0000 0.6639
0.5000 0.5000 0.1680
0.5000 0.5000 0.5000
0.5000 0.5000 0.8320

---

LiCaIn4Ir2 | Alexandria | PBE | optimized geometry; space-group type = R-3m (166); formation energy = -0.2783 eV per atom; density = 9.7 g/cm3
1.0
2.3676 1.3669 7.8232
-2.3676 1.3669 7.8232
0.0000 -2.7338 7.8232
Li Ca In Ir
1 1 4 2
direct
0.0000 0.0000 0.0000
0.5000 0.5000 0.5000
0.1163 0.1163 0.1163
0.3693 0.3693 0.3693
0.6307 0.6307 0.6307
0.8837 0.8837 0.8837
0.2488 0.2488 0.2488
0.7512 0.7512 0.7512

---

La5Pr4Al | Alexandria | PBE | optimized geometry; space-group type = P4/mmm (123); E above lowest polymorph = 0.0 meV per atom; formation energy = -0.0561 eV per atom; density = 6.1 g/cm3
1.0
3.7516 0.0000 0.0000
0.0000 3.7516 0.0000
0.0000 0.0000 24.8503
La Pr Al
5 4 1
direct
0.0000 0.0000 0.0000
0.0000 0.0000 0.2112
0.0000 0.0000 0.4238
0.0000 0.0000 0.5762
0.0000 0.0000 0.7888
0.5000 0.5000 0.1051
0.5000 0.5000 0.3148
0.5000 0.5000 0.6852
0.5000 0.5000 0.8949
0.5000 0.5000 0.5000

---

ZrOsPd3 | Alexandria | PBE | optimized geometry; space-group type = Pm-3m (221); E above lowest polymorph = 0.0 meV per atom; formation energy = 1.0409 eV per atom; density = 9.2 g/cm3
1.0
4.7731 0.0000 0.0000
0.0000 4.7731 0.0000
0.0000 0.0000 4.7731
Zr Os Pd
1 1 3
direct
0.0000 0.0000 0.0000
0.5000 0.5000 0.5000
0.0000 0.5000 0.5000
0.5000 0.0000 0.5000
0.5000 0.5000 0.0000

---

TlBi2S3 | Alexandria | PBE | optimized geometry; space-group type = C2/c (15); density = 7.3 g/cm3; formation energy (no corrections) = -0.29 eV per atom
1.0
6.7323 -3.0789 0.0000
6.7323 3.0789 0.0000
-2.5222 0.0000 7.8672
Tl Bi S
2 4 6
direct
0.0063 0.9937 0.7500
0.9937 0.0063 0.2500
0.3314 0.3390 0.4210
0.3390 0.3314 0.9210
0.6610 0.6686 0.0790
0.6686 0.6610 0.5790
0.1598 0.2194 0.0958
0.2194 0.1598 0.5958
0.4922 0.5078 0.2500
0.5078 0.4922 0.7500
0.7806 0.8402 0.4042
0.8402 0.7806 0.9042

---

NaAc2Al3Au4 | Alexandria | PBE | optimized geometry; space-group type = P-4m2 (115); formation energy = -0.6198 eV per atom; density = 9.7 g/cm3
1.0
4.6260 0.0000 0.0000
0.0000 4.6260 0.0000
0.0000 0.0000 10.7870
Na Ac Al Au
1 2 3 4
direct
0.0000 0.0000 0.0000
0.0000 0.5000 0.7387
0.5000 0.0000 0.2613
0.0000 0.5000 0.3799
0.5000 0.0000 0.6201
0.5000 0.5000 0.0000
0.0000 0.0000 0.5000
0.0000 0.5000 0.1420
0.5000 0.0000 0.8580
0.5000 0.5000 0.5000

---

Nb2Ga2Te | Alexandria | PBE | optimized geometry; space-group type = P4/mbm (127); density = 7.8 g/cm3; formation energy (no corrections) = -0.07 eV per atom
1.0
7.2345 0.0000 0.0000
0.0000 7.2345 0.0000
0.0000 0.0000 3.7069
Nb Ga Te
4 4 2
direct
0.1364 0.3636 0.0000
0.3636 0.8636 0.0000
0.6364 0.1364 0.0000
0.8636 0.6364 0.0000
0.1584 0.6584 0.5000
0.3416 0.1584 0.5000
0.6584 0.8416 0.5000
0.8416 0.3416 0.5000
0.0000 0.0000 0.0000
0.5000 0.5000 0.0000

---

NdGa4Ru | Alexandria | PBE | optimized geometry; space-group type = Pmma (51); formation energy = -0.5273 eV per atom; density = 7.7 g/cm3
1.0
7.7382 0.0000 0.0000
0.0000 4.1408 0.0000
0.0000 0.0000 7.0632
Nd Ga Ru
2 8 2
direct
0.2500 0.0000 0.1318
0.7500 0.0000 0.8682
0.0000 0.0000 0.5000
0.0668 0.5000 0.8208
0.2500 0.5000 0.4580
0.4332 0.5000 0.8208
0.5000 0.0000 0.5000
0.5668 0.5000 0.1792
0.7500 0.5000 0.5420
0.9332 0.5000 0.1792
0.2500 0.0000 0.6981
0.7500 0.0000 0.3019

---

Ce2TiGe3Rh4 | Alexandria | PBE | optimized geometry; space-group type = P-4m2 (115); formation energy = -0.8656 eV per atom; density = 8.7 g/cm3
1.0
4.1483 0.0000 0.0000
0.0000 4.1483 0.0000
0.0000 0.0000 10.6445
Ce Ti Ge Rh
2 1 3 4
direct
0.0000 0.5000 0.2466
0.5000 0.0000 0.7534
0.0000 0.0000 0.5000
0.0000 0.5000 0.8715
0.5000 0.0000 0.1285
0.5000 0.5000 0.5000
0.0000 0.0000 0.0000
0.0000 0.5000 0.6394
0.5000 0.0000 0.3606
0.5000 0.5000 0.0000

---

Number 1: magnetic moment 0.00 Bohr magnetons per cell, final energy -1.22 eV/atom. Number 2: magnetic moment 0.00 Bohr magnetons per cell, final energy -4.99 eV/atom. Number 3: magnetic moment 0.00 Bohr magnetons per cell, final energy -5.15 eV/atom. Number 4: magnetic moment 0.00 Bohr magnetons per cell, final energy -3.04 eV/atom. Number 5: magnetic moment 0.42 Bohr magnetons per cell, final energy -3.64 eV/atom. Number 6: magnetic moment 7.20 Bohr magnetons per cell, final energy -13.03 eV/atom. Number 7: magnetic moment 0.00 Bohr magnetons per cell, final energy -2.11 eV/atom. Number 8: magnetic moment 0.00 Bohr magnetons per cell, final energy -3.53 eV/atom. Number 9: magnetic moment 0.00 Bohr magnetons per cell, final energy -10.61 eV/atom. Number 10: magnetic moment 0.00 Bohr magnetons per cell, final energy -5.99 eV/atom. Number 11: magnetic moment 3.14 Bohr magnetons per cell, final energy -6.26 eV/atom. Number 12: magnetic moment 5.69 Bohr magnetons per cell, final energy -7.26 eV/atom. Number 13: magnetic moment 0.00 Bohr magnetons per cell, final energy -8.63 eV/atom. Number 14: magnetic moment 0.00 Bohr magnetons per cell, final energy -1.61 eV/atom. Number 15: magnetic moment 2.03 Bohr magnetons per cell, final energy -4.46 eV/atom. Number 16: magnetic moment 0.00 Bohr magnetons per cell, final energy -4.35 eV/atom. Number 17: magnetic moment 0.00 Bohr magnetons per cell, final energy -4.81 eV/atom. Number 18: magnetic moment 0.00 Bohr magnetons per cell, final energy -6.03 eV/atom. Number 19: magnetic moment 0.00 Bohr magnetons per cell, final energy -4.04 eV/atom. Number 20: magnetic moment 0.00 Bohr magnetons per cell, final energy -4.01 eV/atom. Number 21: magnetic moment 0.00 Bohr magnetons per cell, final energy -5.93 eV/atom. Number 22: magnetic moment 0.00 Bohr magnetons per cell, final energy -4.89 eV/atom. Number 23: magnetic moment 1.38 Bohr magnetons per cell, final energy -7.17 eV/atom.